Entry 1:
The following is a PBE-GGA calculation of an optimized crystal structure of SrCaPmIn, from the Alexandria database.

a = 8.175 Å, b = 8.175 Å, c = 8.175 Å
α = 90.00°, β = 90.00°, γ = 90.00°
Space group F-43m (No. 216)
One atom of each set of equivalent atoms:
Sr1 0.000 0.000 0.000
Ca1 0.250 0.250 0.250
Pm1 0.000 0.000 0.500
In1 0.250 0.250 0.750

Results
Theoretical density in g cm⁻³: 4.71
Calculated formation energy in eV per atom: -0.14
E in eV/atom: -2.93
V in Å³ per cell: 546.3



Entry 2:
The following is a PBE-GGA calculation of an optimized crystal structure of TlAg2Pd, from the Alexandria database.

a = 6.696 Å, b = 6.696 Å, c = 6.696 Å
α = 90.00°, β = 90.00°, γ = 90.00°
Space group Fm-3m (No. 225)
One atom of each set of equivalent atoms:
Tl1 0.000 0.000 0.000
Ag1 0.250 0.250 0.250
Pd1 0.000 0.000 0.500

Results
Theoretical density in g cm⁻³: 11.65
Calculated formation energy in eV per atom: 0.06
E in eV/atom: -3.25
V in Å³ per cell: 300.2



Entry 3:
The following is a PBE-GGA calculation of an optimized crystal structure of Li3BH, from the Alexandria database.

a = 3.642 Å, b = 3.642 Å, c = 3.642 Å
α = 90.00°, β = 90.00°, γ = 90.00°
Space group Pm-3m (No. 221)
One atom of each set of equivalent atoms:
Li1 0.000 0.000 0.500
B1 0.500 0.500 0.500
H1 0.000 0.000 0.000

Results
Theoretical density in g cm⁻³: 1.12
E in eV/atom: -2.90
V in Å³ per cell: 48.3



Entry 4:
The following is a PBE-GGA calculation of an optimized crystal structure of AlVS2Cl, from the Alexandria database.

a = 4.699 Å, b = 4.699 Å, c = 4.475 Å
α = 90.00°, β = 90.00°, γ = 90.00°
Space group P4/mmm (No. 123)
One atom of each set of equivalent atoms:
Al1 0.000 0.000 0.000
V1 0.500 0.500 0.500
S1 0.000 0.500 0.000
Cl1 0.000 0.000 0.500

Results
Theoretical density in g cm⁻³: 2.98
E in eV/atom: -4.73
V in Å³ per cell: 98.8



Entry 5:
The following is a PBE-GGA calculation of an optimized crystal structure of Zr4ZnSe, from the Alexandria database.

a = 8.125 Å, b = 8.125 Å, c = 8.125 Å
α = 90.00°, β = 90.00°, γ = 90.00°
Space group F-43m (No. 216)
One atom of each set of equivalent atoms:
Zr1 0.123 0.123 0.377
Zn1 0.250 0.250 0.750
Se1 0.000 0.000 0.000

Results
Theoretical density in g cm⁻³: 6.31
E in eV/atom: -6.17
V in Å³ per cell: 536.4



Entry 6:
The following is a PBE-GGA calculation of an optimized crystal structure of TaTi6N, from the Alexandria database.

a = 9.941 Å, b = 5.241 Å, c = 9.930 Å
α = 90.00°, β = 101.84°, γ = 90.00°
Space group C2/c (No. 15)
One atom of each set of equivalent atoms:
Ta1 0.000 0.110 0.250
Ti1 0.064 0.396 0.894
Ti2 0.145 0.077 0.536
Ti3 0.217 0.400 0.181
N1 0.250 0.250 0.000

Results
Theoretical density in g cm⁻³: 6.32
E in eV/atom: -8.90
V in Å³ per cell: 506.3